No. 1
An optimized crystal structure of SmRhAu, computed with PBE.

Lattice parameters (Å, degrees): 3.6216 4.5686 4.5686 120.00 90.00 90.00
Last column: nearest neighbours and their distance in Å.
Fractional coordinates of all 3 atoms:
Rh 0.1663 0.3333 0.6667  3 Au 2.64
Sm 0.6667 0.6667 0.3333  6 Rh 3.20, 6 Au 3.20
Au 0.1669 0.0000 0.0000  3 Rh 2.64

Summary:
polymorph energy (0 for the lowest one)	87	meV/atom
M_tot	0.00	μB per cell
calculated formation energy	-0.56	eV/atom


No. 2
An optimized crystal structure of Tb3Ni4Pt4, computed with PBE.

Lattice parameters (Å, degrees): 6.4233 6.4233 6.4233 109.47 109.47 109.47
Last column: nearest neighbours and their distance in Å.
Fractional coordinates of all 11 atoms:
Ni 0.2295 0.0000 0.0000  4 Pt 2.35-2.52, 3 Ni 2.41
Ni 0.0000 0.2295 0.0000  4 Pt 2.35-2.52, 3 Ni 2.41
Ni 0.0000 0.0000 0.2295  4 Pt 2.35-2.52, 3 Ni 2.41
Ni 0.7705 0.7705 0.7705  4 Pt 2.35-2.52, 3 Ni 2.41
Pt 0.0000 0.5960 0.0000  4 Ni 2.35-2.52
Pt 0.0000 0.0000 0.5960  4 Ni 2.35-2.52
Pt 0.5960 0.0000 0.0000  4 Ni 2.35-2.52
Pt 0.4040 0.4040 0.4040  4 Ni 2.35-2.52
Tb 0.5000 0.5000 0.0000  4 Pt 3.06, 4 Ni 3.10
Tb 0.5000 0.0000 0.5000  4 Pt 3.06, 4 Ni 3.10
Tb 0.0000 0.5000 0.5000  4 Pt 3.06, 4 Ni 3.10

Summary:
M_tot	1.37	μB per cell
calculated formation energy	-0.58	eV/atom